No. 1
The following is a DFT calculation (PBE) of a relaxed structure of MgCuAu.

Output
- Relative energy among the computed polymorphs: 3.56 kcal/mol of atoms
- Calculated density: 8.35 g cm⁻³
- Final energy: -0.1150 Ha/atom
- Energy of formation from the pure elements: -139 meV/atom
- Space group: Pmmm (47)
- Magnetic moment: 0.0 μB/cell

Cell lengths 3.536, 3.786, 4.233 Å; angles 90.00, 90.00, 90.00 degrees
Fractional positions:
Mg 0.000 0.000 0.000
Cu 0.500 0.000 0.500
Au 0.000 0.500 0.500

=====

No. 2
The following is a DFT calculation (PBE) of a relaxed structure of Zr2NiPb.

Output
- Calculated density: 9.13 g cm⁻³
- Final energy: -0.2468 Ha/atom
- Energy of formation from the pure elements: -69 meV/atom
- Space group: I-4m2 (119)
- Magnetic moment: 0.0 μB/cell

Cell lengths 5.617, 5.617, 5.617 Å; angles 136.97, 136.97, 62.48 degrees
Fractional positions:
Zr 0.000 0.000 0.000
Zr 0.750 0.250 0.500
Ni 0.250 0.750 0.500
Pb 0.500 0.500 0.000

=====

No. 3
The following is a DFT calculation (PBE) of a relaxed structure of LiPbAu2.

Output
- Calculated density: 12.75 g cm⁻³
- Final energy: -0.1213 Ha/atom
- Energy of formation from the pure elements: -257 meV/atom
- Space group: C2 (5)
- Magnetic moment: 0.0 μB/cell

Cell lengths 5.205, 5.205, 4.324 Å; angles 114.26, 114.26, 108.34 degrees
Fractional positions:
Li 0.000 0.000 0.000
Pb 0.750 0.250 0.500
Au 0.249 0.751 0.500
Au 0.499 0.501 0.000

=====

No. 4
The following is a DFT calculation (PBE) of a relaxed structure of Rb2DyCu2S4.

Output
- Calculated density: 4.56 g cm⁻³
- Final energy: -0.1688 Ha/atom
- Uncorrected formation energy: -1123.2 meV per atom
- Space group: C2/m (12)
- Magnetic moment: 0.0 μB/cell

Cell lengths 7.588, 7.588, 7.860 Å; angles 107.85, 107.85, 29.99 degrees
Fractional positions:
Rb 0.132 0.132 0.055
Rb 0.868 0.868 0.945
Dy 0.000 0.000 0.500
Cu 0.320 0.320 0.514
Cu 0.680 0.680 0.486
S 0.201 0.201 0.660
S 0.476 0.476 0.724
S 0.524 0.524 0.276
S 0.799 0.799 0.340

=====

No. 5
The following is a DFT calculation (PBE) of a relaxed structure of Mg2AlPd3.

Output
- Relative energy among the computed polymorphs: 0.00 kcal/mol of atoms
- Calculated density: 7.02 g cm⁻³
- Final energy: -0.1675 Ha/atom
- Energy of formation from the pure elements: -807 meV/atom
- Space group: Cmmm (65)
- Magnetic moment: 0.0 μB/cell

Cell lengths 7.053, 7.053, 6.267 Å; angles 90.00, 90.00, 143.19 degrees
Fractional positions:
Mg 0.000 0.000 0.000
Mg 0.000 0.000 0.500
Mg 0.334 0.666 0.000
Mg 0.666 0.334 0.000
Al 0.337 0.663 0.500
Al 0.663 0.337 0.500
Pd 0.172 0.828 0.266
Pd 0.172 0.828 0.734
Pd 0.500 0.500 0.259
Pd 0.500 0.500 0.741
Pd 0.828 0.172 0.266
Pd 0.828 0.172 0.734

=====

No. 6
The following is a DFT calculation (PBE) of a relaxed structure of HoZrTl.

Output
- Relative energy among the computed polymorphs: 0.00 kcal/mol of atoms
- Calculated density: 9.85 g cm⁻³
- Final energy: -0.1938 Ha/atom
- Energy of formation from the pure elements: -110 meV/atom
- Space group: I4mm (107)
- Magnetic moment: 0.0 μB/cell

Cell lengths 6.883, 6.883, 6.883 Å; angles 150.76, 150.76, 41.82 degrees
Fractional positions:
Ho 0.000 0.000 0.000
Zr 0.327 0.327 0.000
Tl 0.672 0.672 0.000

=====

No. 7
The following is a DFT calculation (PBE) of a relaxed structure of Dy2MgP3Rh12.

Output
- Calculated density: 9.60 g cm⁻³
- Final energy: -0.2483 Ha/atom
- Energy of formation from the pure elements: -353 meV/atom
- Space group: R-3m (166)
- Magnetic moment: 0.0 μB/cell

Cell lengths 6.662, 6.662, 6.662 Å; angles 83.20, 83.20, 83.20 degrees
Fractional positions:
Dy 0.128 0.128 0.128
Dy 0.872 0.872 0.872
Mg 0.500 0.500 0.500
P 0.000 0.500 0.500
P 0.500 0.000 0.500
P 0.500 0.500 0.000
Rh 0.130 0.130 0.594
Rh 0.130 0.594 0.130
Rh 0.170 0.675 0.675
Rh 0.325 0.325 0.830
Rh 0.325 0.830 0.325
Rh 0.406 0.870 0.870
Rh 0.594 0.130 0.130
Rh 0.675 0.170 0.675
Rh 0.675 0.675 0.170
Rh 0.830 0.325 0.325
Rh 0.870 0.406 0.870
Rh 0.870 0.870 0.406

=====

No. 8
The following is a DFT calculation (PBE) of a relaxed structure of TmPu3Tl12.

Output
- Calculated density: 12.73 g cm⁻³
- Final energy: -0.1764 Ha/atom
- Energy of formation from the pure elements: -59 meV/atom
- Space group: P4/mmm (123)
- Magnetic moment: 5.7 μB/cell

Cell lengths 4.779, 4.779, 19.150 Å; angles 90.00, 90.00, 90.00 degrees
Fractional positions:
Tm 0.000 0.000 0.000
Pu 0.000 0.000 0.247
Pu 0.000 0.000 0.500
Pu 0.000 0.000 0.753
Tl 0.000 0.500 0.123
Tl 0.000 0.500 0.374
Tl 0.000 0.500 0.626
Tl 0.000 0.500 0.877
Tl 0.500 0.000 0.123
Tl 0.500 0.000 0.374
Tl 0.500 0.000 0.626
Tl 0.500 0.000 0.877
Tl 0.500 0.500 0.000
Tl 0.500 0.500 0.250
Tl 0.500 0.500 0.500
Tl 0.500 0.500 0.750

=====

No. 9
The following is a DFT calculation (PBE) of a relaxed structure of Sc2BI.

Output
- Relative energy among the computed polymorphs: 6.60 kcal/mol of atoms
- Calculated density: 3.62 g cm⁻³
- Final energy: -0.1970 Ha/atom
- Uncorrected formation energy: -136.9 meV per atom
- Space group: I-42d (122)
- Magnetic moment: 0.0 μB/cell

Cell lengths 6.952, 6.952, 6.952 Å; angles 126.76, 126.76, 78.65 degrees
Fractional positions:
Sc 0.022 0.625 0.897
Sc 0.375 0.272 0.397
Sc 0.728 0.125 0.103
Sc 0.875 0.978 0.603
B 0.000 0.000 0.000
B 0.750 0.250 0.500
I 0.250 0.750 0.500
I 0.500 0.500 0.000

=====

No. 10
The following is a DFT calculation (PBE) of a relaxed structure of InTcBr2.

Output
- Relative energy among the computed polymorphs: 1.76 kcal/mol of atoms
- Calculated density: 5.21 g cm⁻³
- Final energy: -0.1510 Ha/atom
- Uncorrected formation energy: 4.4 meV per atom
- Space group: Cm (8)
- Magnetic moment: 0.6 μB/cell

Cell lengths 5.391, 5.391, 7.515 Å; angles 110.86, 110.86, 35.88 degrees
Fractional positions:
In 0.000 0.000 0.000
Tc 0.272 0.272 0.000
Br 0.680 0.680 0.718
Br 0.834 0.834 0.282

=====

No. 11
The following is a DFT calculation (PBE) of a relaxed structure of GaN3Cl.

Output
- Calculated density: 4.67 g cm⁻³
- Final energy: -0.1247 Ha/atom
- Uncorrected formation energy: 2577.4 meV per atom
- Space group: Pm-3m (221)
- Magnetic moment: 0.0 μB/cell

Cell lengths 3.741, 3.741, 3.741 Å; angles 90.00, 90.00, 90.00 degrees
Fractional positions:
Ga 0.000 0.000 0.000
N 0.000 0.500 0.500
N 0.500 0.000 0.500
N 0.500 0.500 0.000
Cl 0.500 0.500 0.500

=====

No. 12
The following is a DFT calculation (PBE) of a relaxed structure of Mn2BiSe2.

Output
- Calculated density: 7.22 g cm⁻³
- Final energy: -0.2100 Ha/atom
- Uncorrected formation energy: 123.8 meV per atom
- Space group: I4/mmm (139)
- Magnetic moment: 7.1 μB/cell

Cell lengths 5.714, 5.714, 5.714 Å; angles 129.04, 129.04, 74.94 degrees
Fractional positions:
Mn 0.159 0.159 0.000
Mn 0.841 0.841 0.000
Bi 0.500 0.500 0.000
Se 0.250 0.750 0.500
Se 0.750 0.250 0.500

=====

No. 13
The following is a DFT calculation (PBE) of a relaxed structure of Pm2Ni3As4Ru.

Output
- Calculated density: 8.45 g cm⁻³
- Final energy: -0.2299 Ha/atom
- Energy of formation from the pure elements: -784 meV/atom
- Space group: P-4m2 (115)
- Magnetic moment: 0.0 μB/cell

Cell lengths 4.178, 4.178, 9.757 Å; angles 90.00, 90.00, 90.00 degrees
Fractional positions:
Pm 0.000 0.500 0.245
Pm 0.500 0.000 0.755
Ni 0.000 0.500 0.881
Ni 0.500 0.000 0.119
Ni 0.500 0.500 0.500
As 0.000 0.000 0.000
As 0.000 0.500 0.638
As 0.500 0.000 0.362
As 0.500 0.500 0.000
Ru 0.000 0.000 0.500

=====

No. 14
The following is a DFT calculation (PBE) of a relaxed structure of CuRe2Ir.

Output
- Relative energy among the computed polymorphs: 0.13 kcal/mol of atoms
- Calculated density: 18.09 g cm⁻³
- Final energy: -0.3442 Ha/atom
- Energy of formation from the pure elements: 99 meV/atom
- Space group: R3m (160)
- Magnetic moment: 0.0 μB/cell

Cell lengths 8.930, 8.930, 8.930 Å; angles 17.73, 17.73, 17.73 degrees
Fractional positions:
Cu 0.000 0.000 0.000
Re 0.501 0.501 0.501
Re 0.750 0.750 0.750
Ir 0.250 0.250 0.250

=====

No. 15
The following is a DFT calculation (PBE) of a relaxed structure of NaLaGa3.

Output
- Calculated density: 3.19 g cm⁻³
- Final energy: -0.0945 Ha/atom
- Energy of formation from the pure elements: 493 meV/atom
- Space group: Pm-3m (221)
- Magnetic moment: 0.0 μB/cell

Cell lengths 5.781, 5.781, 5.781 Å; angles 90.00, 90.00, 90.00 degrees
Fractional positions:
Na 0.000 0.000 0.000
La 0.500 0.500 0.500
Ga 0.000 0.500 0.500
Ga 0.500 0.000 0.500
Ga 0.500 0.500 0.000

=====

No. 16
The following is a DFT calculation (PBE) of a relaxed structure of SrTiTe2N.

Output
- Relative energy among the computed polymorphs: 0.00 kcal/mol of atoms
- Calculated density: 5.33 g cm⁻³
- Final energy: -0.2046 Ha/atom
- Uncorrected formation energy: -729.1 meV per atom
- Space group: P4/mmm (123)
- Magnetic moment: 0.0 μB/cell

Cell lengths 5.733, 5.733, 3.837 Å; angles 90.00, 90.00, 90.00 degrees
Fractional positions:
Sr 0.000 0.000 0.000
Ti 0.500 0.500 0.500
Te 0.000 0.500 0.500
Te 0.500 0.000 0.500
N 0.500 0.500 0.000

=====

No. 17
The following is a DFT calculation (PBE) of a relaxed structure of TbPmInPb.

Output
- Relative energy among the computed polymorphs: 0.99 kcal/mol of atoms
- Calculated density: 9.05 g cm⁻³
- Final energy: -0.1614 Ha/atom
- Energy of formation from the pure elements: -435 meV/atom
- Space group: F-43m (216)
- Magnetic moment: 0.0 μB/cell

Cell lengths 5.456, 5.456, 5.456 Å; angles 60.00, 60.00, 60.00 degrees
Fractional positions:
Tb 0.000 0.000 0.000
Pm 0.500 0.500 0.500
In 0.250 0.250 0.250
Pb 0.750 0.750 0.750

=====

No. 18
The following is a DFT calculation (PBE) of a relaxed structure of Zr2HW.

Output
- Relative energy among the computed polymorphs: 1.13 kcal/mol of atoms
- Calculated density: 9.48 g cm⁻³
- Final energy: -0.2945 Ha/atom
- Space group: R-3m (166)
- Magnetic moment: 0.0 μB/cell

Cell lengths 8.601, 8.601, 8.601 Å; angles 19.87, 19.87, 19.87 degrees
Fractional positions:
Zr 0.109 0.109 0.109
Zr 0.891 0.891 0.891
H 0.500 0.500 0.500
W 0.000 0.000 0.000

=====

No. 19
The following is a DFT calculation (PBE) of a relaxed structure of Er5CoAu4.

Output
- Calculated density: 12.78 g cm⁻³
- Final energy: -0.1852 Ha/atom
- Energy of formation from the pure elements: -736 meV/atom
- Space group: P4/mmm (123)
- Magnetic moment: 0.7 μB/cell

Cell lengths 3.504, 3.504, 17.805 Å; angles 90.00, 90.00, 90.00 degrees
Fractional positions:
Er 0.000 0.000 0.000
Er 0.000 0.000 0.205
Er 0.000 0.000 0.409
Er 0.000 0.000 0.591
Er 0.000 0.000 0.795
Co 0.500 0.500 0.500
Au 0.500 0.500 0.102
Au 0.500 0.500 0.307
Au 0.500 0.500 0.693
Au 0.500 0.500 0.898

=====

No. 20
The following is a DFT calculation (PBE) of a relaxed structure of SmPbI.

Output
- Relative energy among the computed polymorphs: 0.00 kcal/mol of atoms
- Calculated density: 6.84 g cm⁻³
- Final energy: -0.1515 Ha/atom
- Uncorrected formation energy: -796.9 meV per atom
- Space group: P2_1/m (11)
- Magnetic moment: 0.0 μB/cell

Cell lengths 4.332, 4.620, 11.936 Å; angles 90.00, 100.03, 90.00 degrees
Fractional positions:
Sm 0.076 0.250 0.160
Sm 0.924 0.750 0.840
Pb 0.457 0.250 0.910
Pb 0.543 0.750 0.090
I 0.330 0.750 0.646
I 0.670 0.250 0.354